BaLiNd2O4: optimized geometry, PBE-GGA.

a = 6.2517 Å, b = 6.2517 Å, c = 11.8871 Å
α = 90.00°, β = 90.00°, γ = 146.45°
With the nearest neighbours (Å) after each atom.
Sites, in units of the cell vectors:
Ba (0.1027, 0.8973, 0.7500)  6 O 2.85-2.91
Ba (0.8973, 0.1027, 0.2500)  6 O 2.85-2.91
Li (0.1715, 0.8285, 0.2500)  4 O 1.93-2.10
Li (0.8285, 0.1715, 0.7500)  4 O 1.93-2.10
Nd (0.3697, 0.6303, 0.5538)  6 O 2.39-2.50
Nd (0.3697, 0.6303, 0.9462)  6 O 2.39-2.50
Nd (0.6303, 0.3697, 0.0538)  6 O 2.39-2.50
Nd (0.6303, 0.3697, 0.4462)  6 O 2.39-2.50
O (0.0000, 0.0000, 0.0000)  4 Nd 2.47
O (0.0000, 0.0000, 0.5000)  4 Nd 2.47
O (0.2615, 0.7385, 0.1154)  1 Li 1.93
O (0.2615, 0.7385, 0.3846)  1 Li 1.93
O (0.4186, 0.5814, 0.7500)  2 Li 2.10
O (0.5814, 0.4186, 0.2500)  2 Li 2.10
O (0.7385, 0.2615, 0.6154)  1 Li 1.93
O (0.7385, 0.2615, 0.8846)  1 Li 1.93

The calculation puts the formation energy without anion corrections at -2698 meV per atom. Its spin magnetization is 0.000 Bohr magnetons per cell.